[1]
The following is a PBE calculation of a geometry-optimized La2NdSe4 structure, from Alexandria.

For the total DFT energy (no corrections), the calculation gives -6.0154 eV per atom. The spin magnetization is 0.00 μB/atom. The uncorrected formation energy comes out at -1.935 eV/atom.

The structure belongs to space group Cmcm (No. 63); the cell edges are 4.137, 14.319 and 14.267 Å and the angles 90.00°, 90.00° and 90.00°. Symmetry generates all atoms from La at (0.000, 0.130, 0.072), Nd at (0.000, 0.373, 0.250), Se at (0.000, 0.023, 0.250), Se at (0.000, 0.222, 0.624) and Se at (0.000, 0.500, 0.000).

---

[2]
The following is a PBE calculation of a geometry-optimized KSr2Tc structure, from Alexandria.

For the total DFT energy (no corrections), the calculation gives -2.8601 eV per atom. The spin magnetization is 0.53 μB/atom. The formation energy from the elements comes out at 0.847 eV per atom.

The structure belongs to space group Fm-3m (No. 225); the cell edges are 8.268, 8.268 and 8.268 Å and the angles 90.00°, 90.00° and 90.00°. Symmetry generates all atoms from K at (0.000, 0.000, 0.000), Sr at (0.250, 0.250, 0.250) and Tc at (0.000, 0.000, 0.500).

---

[3]
The following is a PBE calculation of a geometry-optimized FeSn structure, from Alexandria.

For the total DFT energy (no corrections), the calculation gives -5.2102 eV per atom. The spin magnetization is 1.16 μB/atom. The formation energy from the elements comes out at 1.023 eV per atom.

The structure belongs to space group Pm-3n (No. 223); the cell edges are 7.267, 7.267 and 7.267 Å and the angles 90.00°, 90.00° and 90.00°. Symmetry generates all atoms from Fe at (0.000, 0.250, 0.500) and Sn at (0.000, 0.500, 0.250).

---

[4]
The following is a PBE calculation of a geometry-optimized HoInGa2I6 structure, from Alexandria.

For the total DFT energy (no corrections), the calculation gives -3.0400 eV per atom. The spin magnetization is 0.00 μB/atom. The uncorrected formation energy comes out at -0.773 eV/atom.

The structure belongs to space group P1 (No. 1); the cell edges are 8.209, 8.213 and 8.841 Å and the angles 62.35°, 62.34° and 60.03°. Symmetry generates all atoms from Ho at (0.000, 0.000, 0.000), In at (0.493, 0.492, 0.523), Ga at (0.185, 0.186, 0.444), Ga at (0.678, 0.678, 0.966), I at (0.069, 0.385, 0.745), I at (0.245, 0.911, 0.217), I at (0.385, 0.802, 0.744), I at (0.627, 0.245, 0.217), I at (0.801, 0.069, 0.745) and I at (0.911, 0.627, 0.217).